[1]
VASP calculation (GGA-PBE) on a relaxed Pm8DyEr4 crystal.

Structure (POSCAR):
```
Pm8DyEr4
1.0
3.628 2.095 9.536
-3.628 2.095 9.536
0.000 -4.189 9.536
Pm Dy Er
8 1 4
Direct
0.205 0.751 0.751
0.213 0.213 0.213
0.249 0.249 0.795
0.249 0.795 0.249
0.751 0.205 0.751
0.751 0.751 0.205
0.787 0.787 0.787
0.795 0.249 0.249
0.500 0.500 0.500
0.000 0.000 0.000
0.000 0.500 0.500
0.500 0.000 0.500
0.500 0.500 0.000
```

Values from the calculation:
Total moment = 0.0 μB/cell
Total energy = -4.48 eV per atom

***

[2]
VASP calculation (GGA-PBE) on a relaxed Sc4Co3Rh crystal.

Structure (POSCAR):
```
Sc4Co3Rh
1.0
3.158 0.000 0.000
0.000 4.457 0.000
0.000 0.000 8.884
Sc Co Rh
4 3 1
Direct
0.000 0.000 0.000
0.000 0.000 0.500
0.000 0.500 0.242
0.000 0.500 0.758
0.500 0.000 0.249
0.500 0.000 0.751
0.500 0.500 0.000
0.500 0.500 0.500
```

Values from the calculation:
Total moment = 0.6 μB/cell
Total energy = -7.27 eV per atom